# PBE Ta7Al5, optimized geometry
# Crystal system   hexagonal
# Distance to the lowest polymorph of the same formula   0.004 eV/atom
# Magnetic moment   0.0 μB per formula unit
data_Ta7Al5
_symmetry_space_group_name_H-M 'P 63/m m c'
_symmetry_Int_Tables_number 194
_symmetry_space_group_name_Hall '-P 6c 2c'
_cell_length_a 5.2595
_cell_length_b 5.2595
_cell_length_c 17.1369
_cell_angle_alpha 90.00
_cell_angle_beta 90.00
_cell_angle_gamma 120.00
loop_
_atom_site_label
_atom_site_type_symbol
_atom_site_fract_x
_atom_site_fract_y
_atom_site_fract_z
_atom_site_occupancy
Ta1 Ta 0.0000 0.0000 0.0914 1
Ta2 Ta 0.1635 0.3269 0.2500 1
Ta3 Ta 0.3333 0.6667 0.6526 1
Al1 Al 0.0000 0.5000 0.0000 1
Al2 Al 0.3333 0.6667 0.1227 1